This record from Alexandria via LeMat-Bulk describes a geometry-optimized NiPO2 structure. The functional is PBE+U.

Cell lengths 4.194, 4.194, 6.288 Å; angles 70.52, 70.52, 90.00 degrees
Last column: magnetic moment on the atom in μB.
Fractional positions:
Ni (0.000, 0.000, 0.000)  1.61
Ni (0.750, 0.250, 0.500)  1.61
O (0.617, 0.125, 0.250)  0.05
O (0.133, 0.625, 0.250)  0.05
O (0.375, 0.383, 0.750)  0.05
O (0.875, 0.867, 0.750)  0.05
P (0.500, 0.500, 0.000)  -0.02
P (0.250, 0.750, 0.500)  -0.02

## Properties
For the total moment, the calculation gives 1.7 μB/f.u. For the density of states at the Fermi level, the calculation gives 3.96 states/eV per cell. Its electronic total energy is -0.173 hartree per atom. As for the space group: I-42d, No. 122.